Density functional theory data (PBE) for a geometry-optimized V2FeHOs structure. Values from VASP.

Geometry as Quantum ESPRESSO input:
```
&SYSTEM
  ibrav = 0, nat = 5, ntyp = 4
/
ATOMIC_SPECIES
V 50.94 V.upf
Fe 55.84 Fe.upf
H 1.01 H.upf
Os 190.23 Os.upf
ATOMIC_POSITIONS angstrom
V 0.0000 1.9896 0.0000
V 1.9896 0.0000 0.0000
Fe 0.0000 0.0000 1.6863
H 0.0000 0.0000 0.0000
Os 1.9896 1.9896 1.6863
CELL_PARAMETERS angstrom
3.9792 0.0000 0.0000
0.0000 3.9792 0.0000
0.0000 0.0000 3.3725
```

Properties
* ΔE to the lowest computed polymorph: 0.0 meV/atom
* symmetry: P4/mmm, No. 123
* energy: -8.381 eV per atom